# PBE-GGA CaPd6Au8, relaxed
data_CaPd6Au8
_cell_length_a 4.8656
_cell_length_b 8.2039
_cell_length_c 8.2039
_cell_angle_alpha 120.00
_cell_angle_beta 90.00
_cell_angle_gamma 90.00
_space_group_name_H-M_alt 'P 1'
_space_group_IT_number 1
loop_
_space_group_symop_operation_xyz
'x,y,z'
loop_
_atom_site_label
_atom_site_fract_x
_atom_site_fract_y
_atom_site_fract_z
_atom_site_occupancy
Ca1 0.5000 0.0000 0.0000 1
Pd1 0.5863 0.6730 0.1393 1
Pd2 0.5863 0.8607 0.5337 1
Pd3 0.5863 0.4663 0.3270 1
Pd4 0.4137 0.3270 0.8607 1
Pd5 0.4137 0.1393 0.4663 1
Pd6 0.4137 0.5337 0.6730 1
Au1 0.9054 0.9894 0.3103 1
Au2 0.9054 0.6897 0.6790 1
Au3 0.9054 0.3210 0.0106 1
Au4 0.0946 0.0106 0.6897 1
Au5 0.0946 0.3103 0.3210 1
Au6 0.0946 0.6790 0.9894 1
Au7 0.9007 0.3333 0.6667 1
Au8 0.0993 0.6667 0.3333 1
# - Calculated total energy: -60.9 eV per cell
# - SG: P-3, No. 147
# - Energy relative to the elements: -0.10 eV/atom
# - Volume: 283.6 Å³/cell



# PBE-GGA Ca2Pd3Au2, relaxed
data_Ca2Pd3Au2
_cell_length_a 7.2921
_cell_length_b 7.2921
_cell_length_c 7.2921
_cell_angle_alpha 109.47
_cell_angle_beta 109.47
_cell_angle_gamma 109.47
_space_group_name_H-M_alt 'P 1'
_space_group_IT_number 1
loop_
_space_group_symop_operation_xyz
'x,y,z'
loop_
_atom_site_label
_atom_site_fract_x
_atom_site_fract_y
_atom_site_fract_z
_atom_site_occupancy
Ca1 0.0000 0.0000 0.5008 1
Ca2 0.5000 0.5008 0.5000 1
Ca3 0.4992 0.9992 0.9992 1
Ca4 0.0008 0.5000 0.0000 1
Pd1 0.7673 0.7500 0.0173 1
Pd2 0.7327 0.2500 0.4827 1
Pd3 0.9827 0.2327 0.2500 1
Pd4 0.5173 0.2673 0.7500 1
Pd5 0.2500 0.0173 0.2673 1
Pd6 0.7500 0.4827 0.2327 1
Au1 0.0000 0.0000 0.8849 1
Au2 0.5000 0.8849 0.5000 1
Au3 0.1151 0.6151 0.6151 1
Au4 0.3849 0.5000 0.0000 1
# - Relative energy among the computed polymorphs: 0 meV/atom
# - Calculated total energy: -59.3 eV per cell
# - SG: I2_13, No. 199
# - Energy relative to the elements: -0.50 eV/atom
# - Volume: 298.5 Å³/cell



# PBE-GGA Ca4PdAu3, relaxed
data_Ca4PdAu3
_cell_length_a 5.1128
_cell_length_b 5.1132
_cell_length_c 8.0614
_cell_angle_alpha 108.33
_cell_angle_beta 108.49
_cell_angle_gamma 90.00
_space_group_name_H-M_alt 'P 1'
_space_group_IT_number 1
loop_
_space_group_symop_operation_xyz
'x,y,z'
loop_
_atom_site_label
_atom_site_fract_x
_atom_site_fract_y
_atom_site_fract_z
_atom_site_occupancy
Ca1 0.3766 0.3764 0.7533 1
Ca2 0.6234 0.6236 0.2467 1
Ca3 0.1234 0.1234 0.2468 1
Ca4 0.8766 0.8766 0.7532 1
Au1 0.0000 0.5000 0.0000 1
Au2 0.7476 0.2475 0.4952 1
Au3 0.2524 0.7525 0.5048 1
Pd1 0.5000 0.0000 0.0000 1
# - Relative energy among the computed polymorphs: 17 meV/atom
# - Calculated total energy: -29.1 eV per cell
# - SG: C2/m, No. 12
# - Energy relative to the elements: -0.76 eV/atom
# - Volume: 188.6 Å³/cell



# PBE-GGA Ca2PdAu7, relaxed
data_Ca2PdAu7
_cell_length_a 7.2382
_cell_length_b 7.2382
_cell_length_c 7.2382
_cell_angle_alpha 60.00
_cell_angle_beta 60.00
_cell_angle_gamma 60.00
_space_group_name_H-M_alt 'P 1'
_space_group_IT_number 1
loop_
_space_group_symop_operation_xyz
'x,y,z'
loop_
_atom_site_label
_atom_site_fract_x
_atom_site_fract_y
_atom_site_fract_z
_atom_site_occupancy
Ca1 0.2500 0.2500 0.2500 1
Ca2 0.7500 0.7500 0.7500 1
Pd1 0.0000 0.0000 0.0000 1
Au1 0.5000 0.5000 0.5000 1
Au2 0.2473 0.7527 0.7527 1
Au3 0.2473 0.7527 0.2473 1
Au4 0.7527 0.2473 0.7527 1
Au5 0.7527 0.7527 0.2473 1
Au6 0.2473 0.2473 0.7527 1
Au7 0.7527 0.2473 0.2473 1
# - Calculated total energy: -32.5 eV per cell
# - SG: Fm-3m, No. 225
# - Energy relative to the elements: -0.04 eV/atom
# - Volume: 268.1 Å³/cell



# PBE-GGA CaPdAu6, relaxed
data_CaPdAu6
_cell_length_a 4.1709
_cell_length_b 5.9832
_cell_length_c 5.9832
_cell_angle_alpha 90.04
_cell_angle_beta 90.00
_cell_angle_gamma 90.00
_space_group_name_H-M_alt 'P 1'
_space_group_IT_number 1
loop_
_space_group_symop_operation_xyz
'x,y,z'
loop_
_atom_site_label
_atom_site_fract_x
_atom_site_fract_y
_atom_site_fract_z
_atom_site_occupancy
Ca1 0.5000 0.5000 0.5000 1
Pd1 0.5000 0.0000 0.0000 1
Au1 0.5000 0.0000 0.5000 1
Au2 0.5000 0.5000 0.0000 1
Au3 0.0000 0.2423 0.2423 1
Au4 0.0000 0.7577 0.7577 1
Au5 0.0000 0.7576 0.2424 1
Au6 0.0000 0.2424 0.7576 1
# - Relative energy among the computed polymorphs: 0 meV/atom
# - Calculated total energy: -29.0 eV per cell
# - SG: P4/mmm, No. 123
# - Energy relative to the elements: -0.27 eV/atom
# - Volume: 149.3 Å³/cell



# PBE-GGA CaPdAu, relaxed
data_CaPdAu
_cell_length_a 3.5203
_cell_length_b 4.6455
_cell_length_c 4.6455
_cell_angle_alpha 120.00
_cell_angle_beta 90.00
_cell_angle_gamma 90.00
_space_group_name_H-M_alt 'P 1'
_space_group_IT_number 1
loop_
_space_group_symop_operation_xyz
'x,y,z'
loop_
_atom_site_label
_atom_site_fract_x
_atom_site_fract_y
_atom_site_fract_z
_atom_site_occupancy
Ca1 0.6666 0.6667 0.3333 1
Au1 0.1669 0.0000 0.0000 1
Pd1 0.1665 0.3333 0.6667 1
# - Relative energy among the computed polymorphs: 99 meV/atom
# - Calculated total energy: -12.3 eV per cell
# - SG: P-6m2, No. 187
# - Energy relative to the elements: -0.62 eV/atom
# - Volume: 65.8 Å³/cell



# PBE-GGA CaPdAu2, relaxed
data_CaPdAu2
_cell_length_a 4.2199
_cell_length_b 4.2441
_cell_length_c 4.2441
_cell_angle_alpha 90.00
_cell_angle_beta 90.00
_cell_angle_gamma 90.00
_space_group_name_H-M_alt 'P 1'
_space_group_IT_number 1
loop_
_space_group_symop_operation_xyz
'x,y,z'
loop_
_atom_site_label
_atom_site_fract_x
_atom_site_fract_y
_atom_site_fract_z
_atom_site_occupancy
Ca1 0.5000 0.0000 0.0000 1
Au1 0.0000 0.0000 0.5000 1
Au2 0.0000 0.5000 0.0000 1
Pd1 0.5000 0.5000 0.5000 1
# - Relative energy among the computed polymorphs: 13 meV/atom
# - Calculated total energy: -16.1 eV per cell
# - SG: P4/mmm, No. 123
# - Energy relative to the elements: -0.59 eV/atom
# - Volume: 76.0 Å³/cell



# PBE-GGA CaPd3Au, relaxed
data_CaPd3Au
_cell_length_a 4.8402
_cell_length_b 4.8402
_cell_length_c 4.8402
_cell_angle_alpha 90.00
_cell_angle_beta 90.00
_cell_angle_gamma 90.00
_space_group_name_H-M_alt 'P 1'
_space_group_IT_number 1
loop_
_space_group_symop_operation_xyz
'x,y,z'
loop_
_atom_site_label
_atom_site_fract_x
_atom_site_fract_y
_atom_site_fract_z
_atom_site_occupancy
Ca1 0.0000 0.0000 0.0000 1
Au1 0.5000 0.5000 0.5000 1
Pd1 0.0000 0.5000 0.0000 1
Pd2 0.0000 0.0000 0.5000 1
Pd3 0.5000 0.0000 0.0000 1
# - Relative energy among the computed polymorphs: 1191 meV/atom
# - Calculated total energy: -17.1 eV per cell
# - SG: Pm-3m, No. 221
# - Energy relative to the elements: 0.75 eV/atom
# - Volume: 113.4 Å³/cell